# GGA-PBE LiEuMg, relaxed
data_LiEuMg
_cell_length_a 3.8150
_cell_length_b 3.8150
_cell_length_c 6.4454
_cell_angle_alpha 107.21
_cell_angle_beta 107.21
_cell_angle_gamma 90.00
_symmetry_space_group_name_H-M 'P 1'
_symmetry_Int_Tables_number 1
loop_
_symmetry_equiv_pos_as_xyz
'x,y,z'
loop_
_atom_site_label
_atom_site_fract_x
_atom_site_fract_y
_atom_site_fract_z
Mg1 0.6432 0.6432 0.2864
Eu1 0.9502 0.9502 0.9004
Li1 0.2566 0.2566 0.5132
# Energy of formation from the pure elements (meV per atom): -21
# E above lowest polymorph (meV per atom): 0.0